# GGA+U Pa4Co3O12, relaxed
# VASP energy   -8.65 eV/atom
# Space-group type   Im-3
# DOS at the Fermi energy   10.78 states/eV per cell
# Crystal system   cubic
data_Pa4Co3O12
_chemical_formula_sum 'Pa4 Co3 O12'
_symmetry_space_group_name_H-M 'P 1'
_symmetry_Int_Tables_number 1
_cell_length_a 7.110
_cell_length_b 7.110
_cell_length_c 7.110
_cell_angle_alpha 109.47
_cell_angle_beta 109.47
_cell_angle_gamma 109.47
loop_
_symmetry_equiv_pos_as_xyz
'x,y,z'
loop_
_atom_site_label
_atom_site_fract_x
_atom_site_fract_y
_atom_site_fract_z
Co1 0.500 0.500 0.000
Pa1 0.000 0.500 0.000
O1 0.505 0.820 0.685
O2 0.820 0.315 0.135
Co2 0.500 0.000 0.500
O3 0.180 0.685 0.865
O4 0.135 0.820 0.315
O5 0.180 0.315 0.495
O6 0.685 0.505 0.820
O7 0.820 0.685 0.505
O8 0.315 0.135 0.820
Pa2 0.000 0.000 0.500
Pa3 0.500 0.000 0.000
Pa4 0.500 0.500 0.500
O9 0.865 0.180 0.685
O10 0.315 0.495 0.180
O11 0.495 0.180 0.315
O12 0.685 0.865 0.180
Co3 0.000 0.500 0.500